BaSr at its PBEsol-relaxed geometry. Source: Alexandria, functional meta-GGA SCAN.

abc: 4.133 6.763 7.901
angles: 90.00 99.99 90.00
Space group P2_1/m (No. 11)
One atom of each set of equivalent atoms:
Ba (0.124, 0.250, 0.374) (multiplicity 2)
Sr (0.376, 0.750, 0.124) (multiplicity 2)

Summary:
**Calculated volume**: 218 Å³ per cell
**ΔE_f**: 0.01 eV per atom
**DOS at the Fermi energy**: 2.286 states/eV/f.u.
**Excess energy over the best structure of this formula in the dataset**: 0.002 eV per atom